Record 1
! TcGeAs, relaxed, DFT PBE; values from VASP
! E_form = -8 kJ/mol of atoms
! Magnetization = 0.00 μB/f.u.
&SYSTEM
  ibrav = 0, nat = 6, ntyp = 3
/
ATOMIC_SPECIES
As 74.92 As.upf
Tc 98.00 Tc.upf
Ge 72.64 Ge.upf
ATOMIC_POSITIONS angstrom
As -0.989 3.272 4.557
As 2.312 -0.424 1.287
Tc -0.911 1.424 2.850
Tc 0.659 -1.307 2.974
Ge 0.744 2.303 1.086
Ge 0.578 0.545 4.758
CELL_PARAMETERS angstrom
3.143 0.001 0.144
0.004 5.461 -0.104
-1.825 -2.614 5.805

---

Record 2
! Tc2GeAs, relaxed, DFT PBE; values from VASP
! E_form = -5 kJ/mol of atoms
! Magnetization = 0.00 μB/f.u.
&SYSTEM
  ibrav = 0, nat = 4, ntyp = 3
/
ATOMIC_SPECIES
Ge 72.64 Ge.upf
As 74.92 As.upf
Tc 98.00 Tc.upf
ATOMIC_POSITIONS angstrom
Ge 3.036 1.753 3.778
As 3.036 1.753 0.001
Tc 1.518 0.876 5.665
Tc 1.518 0.876 1.905
CELL_PARAMETERS angstrom
3.036 0.000 0.000
1.518 2.629 0.000
1.518 0.876 7.566

---

Record 3
! Tc2Ge2As, relaxed, DFT PBE; values from VASP
! E_form = 6 kJ/mol of atoms
! Magnetization = 0.00 μB/f.u.
&SYSTEM
  ibrav = 0, nat = 10, ntyp = 3
/
ATOMIC_SPECIES
Ge 72.64 Ge.upf
Tc 98.00 Tc.upf
As 74.92 As.upf
ATOMIC_POSITIONS angstrom
Ge 4.522 6.098 1.575
Ge 0.982 4.522 1.575
Ge 6.098 2.558 1.575
Ge 2.558 0.982 1.575
Tc 5.971 4.649 0.000
Tc 4.649 1.109 0.000
Tc 1.109 2.431 0.000
Tc 2.431 5.971 0.000
As 3.540 3.540 0.000
As 0.000 0.000 0.000
CELL_PARAMETERS angstrom
7.080 0.000 0.000
0.000 7.080 0.000
0.000 0.000 3.151

---

Record 4
! Tc2GeAs2, relaxed, DFT PBE; values from VASP
! E_form = 23 kJ/mol of atoms
! Magnetization = 0.00 μB/f.u.
&SYSTEM
  ibrav = 0, nat = 5, ntyp = 3
/
ATOMIC_SPECIES
As 74.92 As.upf
Ge 72.64 Ge.upf
Tc 98.00 Tc.upf
ATOMIC_POSITIONS angstrom
As 1.888 3.776 3.000
As 3.776 1.888 3.000
Ge 0.000 0.000 0.000
Tc 3.776 3.776 4.629
Tc 1.888 1.888 1.371
CELL_PARAMETERS angstrom
3.776 0.000 0.000
0.000 3.776 0.000
1.888 1.888 6.000

---

Record 5
! TcGeAs, relaxed, DFT PBE; values from VASP
! E_form = -20 kJ/mol of atoms
! Magnetization = 0.00 μB/f.u.
&SYSTEM
  ibrav = 0, nat = 12, ntyp = 3
/
ATOMIC_SPECIES
Ge 72.64 Ge.upf
As 74.92 As.upf
Tc 98.00 Tc.upf
ATOMIC_POSITIONS angstrom
Ge 1.570 0.765 5.131
Ge 1.570 11.069 2.444
Ge 0.000 6.682 5.131
Ge 0.000 5.152 2.444
As 1.570 9.411 4.229
As 0.000 8.340 1.542
As 1.570 2.423 1.542
As 0.000 3.494 4.229
Tc 1.570 4.728 0.441
Tc 0.000 10.645 0.441
Tc 0.000 1.189 3.128
Tc 1.570 7.106 3.128
CELL_PARAMETERS angstrom
3.139 0.000 0.000
0.000 11.834 0.000
0.000 0.000 5.374

---

Record 6
! TcGeAs, relaxed, DFT PBE; values from VASP
! E_form = -14 kJ/mol of atoms
! Magnetization = 0.00 μB/f.u.
&SYSTEM
  ibrav = 0, nat = 12, ntyp = 3
/
ATOMIC_SPECIES
Ge 72.64 Ge.upf
Tc 98.00 Tc.upf
As 74.92 As.upf
ATOMIC_POSITIONS angstrom
Ge 3.854 0.000 8.019
Ge 2.310 1.560 0.442
Ge 2.062 0.000 6.342
Ge 4.101 1.560 2.119
Tc 0.694 0.000 1.753
Tc 2.983 1.560 9.941
Tc 3.231 0.000 4.041
Tc 0.447 1.560 7.653
As 0.999 0.000 9.571
As 1.246 1.560 3.671
As 4.799 1.560 5.316
As 4.552 0.000 11.216
CELL_PARAMETERS angstrom
5.435 0.000 -0.003
0.000 3.119 0.000
-0.494 0.000 11.800

---

Record 7
! TcGeAs, relaxed, DFT PBE; values from VASP
! E_form = -24 kJ/mol of atoms
! Magnetization = 0.00 μB/f.u.
&SYSTEM
  ibrav = 0, nat = 12, ntyp = 3
/
ATOMIC_SPECIES
Tc 98.00 Tc.upf
Ge 72.64 Ge.upf
As 74.92 As.upf
ATOMIC_POSITIONS angstrom
Tc -1.094 3.409 2.770
Tc -3.282 4.213 4.662
Tc -3.128 -0.530 3.821
Tc -0.940 -1.334 1.929
Ge 0.961 6.870 3.552
Ge 1.115 2.127 2.711
Ge -2.271 1.807 4.689
Ge -3.657 -1.480 1.448
As -5.337 0.676 3.835
As -0.648 4.294 5.157
As -5.183 -4.067 2.994
As -2.034 1.007 1.916
CELL_PARAMETERS angstrom
-6.365 -4.120 1.584
1.540 -1.456 2.400
1.232 8.030 4.082

---

Record 8
! TcGeAs2, relaxed, DFT PBE; values from VASP
! E_form = 22 kJ/mol of atoms
! Magnetization = 0.00 μB/f.u.
&SYSTEM
  ibrav = 0, nat = 8, ntyp = 3
/
ATOMIC_SPECIES
As 74.92 As.upf
Ge 72.64 Ge.upf
Tc 98.00 Tc.upf
ATOMIC_POSITIONS angstrom
As -3.432 -3.206 -0.442
As -4.777 0.653 0.765
As -6.513 -2.560 2.238
As -10.467 -3.550 0.994
Ge -5.743 -4.025 0.287
Ge -3.824 -0.774 -1.131
Tc -6.852 -0.307 1.491
Tc 0.000 0.000 0.000
CELL_PARAMETERS angstrom
-4.933 2.944 0.073
-2.715 -4.492 -2.335
-4.947 -2.783 4.040

---

Record 9
! TcGeAs, relaxed, DFT PBE; values from VASP
! E_form = 27 kJ/mol of atoms
! Magnetization = 0.00 μB/f.u.
&SYSTEM
  ibrav = 0, nat = 3, ntyp = 3
/
ATOMIC_SPECIES
Ge 72.64 Ge.upf
As 74.92 As.upf
Tc 98.00 Tc.upf
ATOMIC_POSITIONS angstrom
Ge 2.095 2.144 1.238
As 0.525 0.000 2.476
Tc 0.525 0.000 0.000
CELL_PARAMETERS angstrom
3.144 0.000 0.000
0.000 4.289 0.000
0.000 -2.144 3.714

---

Record 10
! Tc2Ge2As, relaxed, DFT PBE; values from VASP
! E_form = -10 kJ/mol of atoms
! Magnetization = 0.00 μB/f.u.
&SYSTEM
  ibrav = 0, nat = 10, ntyp = 3
/
ATOMIC_SPECIES
As 74.92 As.upf
Ge 72.64 Ge.upf
Tc 98.00 Tc.upf
ATOMIC_POSITIONS angstrom
As 2.314 0.201 2.894
As 0.771 6.382 4.125
Ge 0.771 4.714 -0.479
Ge 2.314 1.869 7.499
Ge 0.771 3.346 1.604
Ge 2.314 3.238 5.415
Tc 0.771 0.827 0.929
Tc 0.771 2.034 3.802
Tc 2.314 4.549 3.218
Tc 2.314 5.757 6.090
CELL_PARAMETERS angstrom
3.086 0.000 0.000
0.000 6.391 -1.324
0.000 0.192 8.344

---

Record 11
! TcGeAs, relaxed, DFT PBE; values from VASP
! E_form = 2 kJ/mol of atoms
! Magnetization = 0.00 μB/f.u.
&SYSTEM
  ibrav = 0, nat = 3, ntyp = 3
/
ATOMIC_SPECIES
Tc 98.00 Tc.upf
As 74.92 As.upf
Ge 72.64 Ge.upf
ATOMIC_POSITIONS angstrom
Tc 1.548 1.548 1.877
As 0.000 0.000 3.264
Ge 0.000 0.000 0.320
CELL_PARAMETERS angstrom
3.095 0.000 0.000
0.000 3.095 0.000
-1.548 -1.548 5.461

---

Record 12
! TcGe3As, relaxed, DFT PBE; values from VASP
! E_form = 44 kJ/mol of atoms
! Magnetization = 1.65 μB/f.u.
&SYSTEM
  ibrav = 0, nat = 5, ntyp = 3
/
ATOMIC_SPECIES
Tc 98.00 Tc.upf
As 74.92 As.upf
Ge 72.64 Ge.upf
ATOMIC_POSITIONS angstrom
Tc 0.000 0.000 0.000
As -4.136 0.610 -0.189
Ge -1.619 -1.636 -0.734
Ge -1.102 1.688 -1.332
Ge -1.415 0.558 1.877
CELL_PARAMETERS angstrom
-2.203 3.376 -2.664
-3.238 -3.272 -1.469
-2.830 1.116 3.754

---

Record 13
! TcGe3As, relaxed, DFT PBE; values from VASP
! E_form = 128 kJ/mol of atoms
! Magnetization = 3.11 μB/f.u.
&SYSTEM
  ibrav = 0, nat = 5, ntyp = 3
/
ATOMIC_SPECIES
Ge 72.64 Ge.upf
Tc 98.00 Tc.upf
As 74.92 As.upf
ATOMIC_POSITIONS angstrom
Ge 2.449 0.000 0.000
Ge 0.000 0.000 2.449
Ge 0.000 2.449 0.000
Tc 2.449 2.449 2.449
As 0.000 0.000 0.000
CELL_PARAMETERS angstrom
4.897 0.000 0.000
0.000 4.897 0.000
0.000 0.000 4.897

---

Record 14
! TcGeAs, relaxed, DFT PBE; values from VASP
! E_form = -24 kJ/mol of atoms
! Magnetization = 0.00 μB/f.u.
&SYSTEM
  ibrav = 0, nat = 12, ntyp = 3
/
ATOMIC_SPECIES
Ge 72.64 Ge.upf
As 74.92 As.upf
Tc 98.00 Tc.upf
ATOMIC_POSITIONS angstrom
Ge -1.482 -1.528 3.050
Ge 3.128 -2.369 3.997
Ge 4.817 -0.443 4.773
Ge 0.997 -2.496 2.760
As -3.326 -4.161 4.077
As 7.451 -0.704 2.681
As 2.840 0.137 1.734
As 0.494 -2.108 6.089
Tc 4.894 -1.273 2.332
Tc 0.284 -0.433 1.385
Tc -0.770 -3.592 4.426
Tc 3.050 -1.539 6.439
CELL_PARAMETERS angstrom
-5.096 -3.183 4.864
0.790 -2.894 -1.066
8.430 1.212 2.960

---

Record 15
! GeTe4As2, relaxed, DFT PBE; values from VASP
! Magnetization = 0.00 μB/f.u.
! Total DFT energy (no corrections) = -106.6 eV/cell
&SYSTEM
  ibrav = 0, nat = 28, ntyp = 3
/
ATOMIC_SPECIES
Te 127.60 Te.upf
As 74.92 As.upf
Ge 72.64 Ge.upf
ATOMIC_POSITIONS angstrom
Te 11.604 -11.646 -1.580
Te 10.228 -8.660 5.821
Te 8.267 -8.824 9.533
Te 7.648 -10.752 -0.480
Te 6.742 -9.075 3.211
Te 5.909 -10.124 -3.964
Te 2.469 -6.042 0.731
Te 1.506 -4.289 4.538
Te 2.882 -7.276 -2.862
Te 5.463 -5.184 3.438
Te 0.534 -1.508 1.305
Te 10.642 -9.893 2.227
Te 6.368 -6.860 -0.253
Te 7.202 -5.811 6.922
Te 12.577 -14.428 1.653
Te 4.844 -7.112 -6.575
As 7.278 -8.585 7.072
As 4.685 -7.648 1.883
As 3.556 -3.886 2.106
As 8.426 -8.287 1.075
As 9.554 -12.049 0.853
As 5.833 -7.351 -4.114
As 5.072 -10.110 -6.813
As 8.039 -5.826 9.771
Ge 10.368 -11.553 5.702
Ge 3.486 -5.644 5.888
Ge 2.743 -4.382 -2.744
Ge 9.625 -10.291 -2.929
CELL_PARAMETERS angstrom
-2.619 -3.075 0.754
7.244 -8.357 -8.914
8.486 -4.504 11.119

---

Record 16
! GeTe7As4, relaxed, DFT PBE; values from VASP
! Magnetization = 0.00 μB/f.u.
! Total DFT energy (no corrections) = -45.4 eV/cell
&SYSTEM
  ibrav = 0, nat = 12, ntyp = 3
/
ATOMIC_SPECIES
Te 127.60 Te.upf
As 74.92 As.upf
Ge 72.64 Ge.upf
ATOMIC_POSITIONS angstrom
Te 2.062 1.191 13.479
Te 2.062 1.191 19.978
Te 0.000 2.381 3.431
Te 0.000 2.381 9.930
Te 0.000 0.000 0.000
Te 0.000 0.000 16.917
Te 0.000 0.000 6.491
As 2.062 1.191 8.062
As 0.000 2.381 21.566
As 0.000 2.381 15.346
As 2.062 1.191 1.842
Ge 0.000 0.000 11.704
CELL_PARAMETERS angstrom
4.124 0.000 0.000
-2.062 3.572 0.000
0.000 0.000 23.409

---

Record 17
! Ge2Te4As, relaxed, DFT PBE; values from VASP
! Magnetization = 0.00 μB/f.u.
! Total DFT energy (no corrections) = -26.4 eV/cell
&SYSTEM
  ibrav = 0, nat = 7, ntyp = 3
/
ATOMIC_SPECIES
Ge 72.64 Ge.upf
Te 127.60 Te.upf
As 74.92 As.upf
ATOMIC_POSITIONS angstrom
Ge -1.095 -2.451 4.779
Ge -1.545 -1.771 8.455
Te -1.720 -0.983 2.144
Te -0.653 -4.089 7.065
Te -1.986 -0.133 6.169
Te -0.920 -3.239 11.090
As 0.000 0.000 0.000
CELL_PARAMETERS angstrom
-3.521 1.238 1.563
-2.098 -5.862 5.203
2.980 0.402 6.468

---

Record 18
! Ge2Te8As, relaxed, DFT PBE; values from VASP
! Magnetization = 0.00 μB/f.u.
! Total DFT energy (no corrections) = -38.2 eV/cell
&SYSTEM
  ibrav = 0, nat = 11, ntyp = 3
/
ATOMIC_SPECIES
Ge 72.64 Ge.upf
Te 127.60 Te.upf
As 74.92 As.upf
ATOMIC_POSITIONS angstrom
Ge 4.949 6.678 5.712
Ge 2.450 2.038 1.743
Te 5.265 2.121 1.814
Te 4.776 6.223 0.152
Te 5.169 4.429 3.788
Te 2.134 6.595 5.641
Te 2.230 4.288 3.667
Te 4.776 1.115 6.124
Te 2.623 7.602 1.331
Te 2.623 2.493 7.303
As 0.000 0.000 0.000
CELL_PARAMETERS angstrom
5.876 -0.004 -0.003
0.761 8.258 -0.828
0.761 0.462 8.286

---

Record 19
! Ge4Te7As2, relaxed, DFT PBE; values from VASP
! Magnetization = 0.00 μB/f.u.
! Total DFT energy (no corrections) = -50.4 eV/cell
&SYSTEM
  ibrav = 0, nat = 13, ntyp = 3
/
ATOMIC_SPECIES
Te 127.60 Te.upf
Ge 72.64 Ge.upf
As 74.92 As.upf
ATOMIC_POSITIONS angstrom
Te 4.182 2.415 20.667
Te 2.091 1.207 7.033
Te 6.273 3.622 17.145
Te 4.182 2.415 3.511
Te 0.000 0.000 0.000
Te 6.273 3.622 10.415
Te 2.091 1.207 13.762
Ge 6.273 3.622 22.410
Ge 2.091 1.207 18.864
Ge 6.273 3.622 5.314
Ge 2.091 1.207 1.768
As 4.182 2.415 15.285
As 4.182 2.415 8.893
CELL_PARAMETERS angstrom
4.182 0.000 0.000
2.091 3.622 0.000
2.091 1.207 24.178

---

Record 20
! Ge2TeAs, relaxed, DFT PBE; values from VASP
! Magnetization = 0.00 μB/f.u.
! Total DFT energy (no corrections) = -32.6 eV/cell
&SYSTEM
  ibrav = 0, nat = 8, ntyp = 3
/
ATOMIC_SPECIES
Ge 72.64 Ge.upf
As 74.92 As.upf
Te 127.60 Te.upf
ATOMIC_POSITIONS angstrom
Ge 5.209 5.432 3.473
Ge 1.959 5.209 1.158
Ge 8.681 8.458 3.473
Ge 4.986 1.736 1.158
As 3.473 3.473 0.000
As 3.473 6.945 2.315
Te 6.945 3.473 2.315
Te 0.000 0.000 0.000
CELL_PARAMETERS angstrom
6.945 0.000 0.000
0.000 6.945 0.000
3.473 3.473 4.630

---

Record 21
! Ge3Te6As, relaxed, DFT PBE; values from VASP
! Magnetization = 0.00 μB/f.u.
! Total DFT energy (no corrections) = -74.5 eV/cell
&SYSTEM
  ibrav = 0, nat = 20, ntyp = 3
/
ATOMIC_SPECIES
Ge 72.64 Ge.upf
Te 127.60 Te.upf
As 74.92 As.upf
ATOMIC_POSITIONS angstrom
Ge -0.752 0.276 3.394
Ge -1.202 8.697 4.375
Ge 2.962 4.167 6.876
Ge 3.771 1.036 4.386
Ge -0.392 5.566 1.885
Ge 3.321 9.457 5.367
Te -1.690 8.307 1.315
Te 4.260 1.426 7.446
Te 0.994 10.196 3.686
Te 2.640 3.463 3.896
Te -0.071 6.270 4.865
Te 7.457 -0.554 9.602
Te -3.132 4.606 2.239
Te 1.575 -0.463 5.075
Te -4.887 10.286 -0.841
Te 2.085 6.973 6.641
Te 0.484 2.760 2.120
Te 5.701 5.126 6.522
As -4.101 7.069 1.879
As 6.671 2.664 6.882
CELL_PARAMETERS angstrom
-2.497 -0.510 3.233
10.444 -1.462 7.835
-5.378 11.705 -2.307

---

Record 22
! Ge2Te3As, relaxed, DFT PBE; values from VASP
! Magnetization = 0.00 μB/f.u.
! Total DFT energy (no corrections) = -23.2 eV/cell
&SYSTEM
  ibrav = 0, nat = 6, ntyp = 3
/
ATOMIC_SPECIES
Te 127.60 Te.upf
Ge 72.64 Ge.upf
As 74.92 As.upf
ATOMIC_POSITIONS angstrom
Te 1.062 1.620 3.747
Te 0.000 0.000 0.000
Te 2.219 3.583 0.136
Ge 2.542 0.800 1.278
Ge 0.738 4.403 2.605
As -0.317 2.793 -1.118
CELL_PARAMETERS angstrom
4.037 0.000 -1.144
-0.633 5.587 -2.236
-0.123 -0.385 7.262

---

Record 23
! GeTe2As2, relaxed, DFT PBE; values from VASP
! Magnetization = 0.00 μB/f.u.
! Total DFT energy (no corrections) = -37.9 eV/cell
&SYSTEM
  ibrav = 0, nat = 10, ntyp = 3
/
ATOMIC_SPECIES
Te 127.60 Te.upf
As 74.92 As.upf
Ge 72.64 Ge.upf
ATOMIC_POSITIONS angstrom
Te -1.974 -2.518 -1.688
Te -1.995 -5.790 -4.462
Te -1.823 -5.292 1.582
Te -1.844 -8.564 -1.192
As 0.061 -8.042 -3.034
As -0.046 -3.970 -4.036
As 0.164 -7.038 1.038
As 0.057 -2.966 0.036
Ge 0.059 -5.504 -1.499
Ge 0.000 0.000 0.000
CELL_PARAMETERS angstrom
-0.134 -4.007 -7.000
0.253 -7.000 4.002
-3.937 -0.075 0.118